Entry a
This record from Alexandria describes crystalline SrMnHg3 at its relaxed geometry. The functional is GGA-PBE.

Cell lengths 5.2043, 5.2043, 5.2043 Å; angles 90.00, 90.00, 90.00 degrees
With the nearest neighbours (Å) after each atom.
Space group Pm-3m (No. 221)
Asymmetric unit:
Sr1 0.0000 0.0000 0.0000  12 Hg 3.68
Mn1 0.5000 0.5000 0.5000  6 Hg 2.60
Hg1 0.0000 0.5000 0.5000  2 Mn 2.60

Summary:
The value obtained for the density of states at the Fermi level is 1.24 states/eV per atom. The value obtained for the magnetization is 3.1 μB/cell.

***

Entry b
This record from Alexandria describes crystalline SrMnHg3 at its relaxed geometry. The functional is GGA-PBE.

Cell lengths 6.1651, 6.1651, 6.1651 Å; angles 90.00, 90.00, 90.00 degrees
With the nearest neighbours (Å) after each atom.
Space group Pm-3m (No. 221)
Asymmetric unit:
Sr1 0.0000 0.0000 0.0000  6 Hg 3.08
Mn1 0.5000 0.5000 0.5000  12 Hg 4.36
Hg1 0.0000 0.0000 0.5000  2 Sr 3.08

Summary:
The value obtained for the density of states at the Fermi level is 1.08 states/eV per atom. The value obtained for the magnetization is 4.5 μB/cell.

***

It is entry b that is the least stable of them.

***

Entry a
This record from Alexandria describes crystalline Ta3MnHg at its relaxed geometry. The functional is GGA-PBE.

Cell lengths 4.6142, 4.6142, 4.6142 Å; angles 90.00, 90.00, 90.00 degrees
With the nearest neighbours (Å) after each atom.
Space group Pm-3m (No. 221)
Asymmetric unit:
Ta1 0.0000 0.0000 0.5000  2 Mn 2.31
Mn1 0.0000 0.0000 0.0000  6 Ta 2.31
Hg1 0.5000 0.5000 0.5000  12 Ta 3.26

Summary:
The value obtained for the density of states at the Fermi level is 0.94 states/eV per atom. The value obtained for the magnetization is 0.0 μB/cell.

***

Entry b
This record from Alexandria describes crystalline Ta3MnHg at its relaxed geometry. The functional is GGA-PBE.

Cell lengths 4.9696, 4.9696, 4.9696 Å; angles 90.00, 90.00, 90.00 degrees
With the nearest neighbours (Å) after each atom.
Space group Pm-3m (No. 221)
Asymmetric unit:
Ta1 0.0000 0.0000 0.5000  2 Hg 2.48
Mn1 0.5000 0.5000 0.5000  12 Ta 3.51
Hg1 0.0000 0.0000 0.0000  6 Ta 2.48

Summary:
The value obtained for the density of states at the Fermi level is 2.19 states/eV per atom. The value obtained for the magnetization is 0.3 μB/cell.

***

It is entry b that is the least stable of them.

***

Entry a
This record from Alexandria describes crystalline MnTcHg2 at its relaxed geometry. The functional is GGA-PBE.

Cell lengths 2.8986, 4.1321, 5.9004 Å; angles 90.00, 90.00, 90.00 degrees
With the nearest neighbours (Å) after each atom.
Space group Pmmm (No. 47)
Asymmetric unit:
Mn1 0.0000 0.0000 0.0000  2 Mn 2.90, 8 Hg 2.92, 2 Tc 2.95
Tc1 0.0000 0.0000 0.5000  2 Tc 2.90, 8 Hg 2.92, 2 Mn 2.95
Hg1 0.5000 0.5000 0.2497  4 Hg 2.90-2.95, 4 Mn 2.92, 4 Tc 2.92

Summary:
The value obtained for the density of states at the Fermi level is 0.82 states/eV per atom. The value obtained for the magnetization is 4.0 μB/cell.

***

Entry b
This record from Alexandria describes crystalline MnTcHg2 at its relaxed geometry. The functional is GGA-PBE.

Cell lengths 2.9653, 2.9653, 28.7893 Å; angles 90.00, 90.00, 120.00 degrees
With the nearest neighbours (Å) after each atom.
Space group R3m (No. 160, hexagonal axes)
Asymmetric unit:
Mn1 0.0000 0.0000 0.0000  3 Tc 2.48
Tc1 0.0000 0.0000 0.2709  3 Mn 2.48
Hg1 0.0000 0.0000 0.5175  6 Hg 2.97, 3 Tc 3.03
Hg2 0.0000 0.0000 0.7490  3 Mn 2.92, 6 Hg 2.97

Summary:
The value obtained for the density of states at the Fermi level is 0.73 states/eV per atom. The value obtained for the magnetization is 7.8 μB/cell.

***

Entry c
This record from Alexandria describes crystalline MnTcHg2 at its relaxed geometry. The functional is GGA-PBE.

Cell lengths 4.1365, 4.1365, 8.2676 Å; angles 90.00, 90.00, 90.00 degrees
With the nearest neighbours (Å) after each atom.
Space group I4/mmm (No. 139)
Asymmetric unit:
Mn1 0.0000 0.0000 0.0000  8 Hg 2.92, 4 Tc 2.92
Tc1 0.0000 0.0000 0.5000  8 Hg 2.92, 4 Mn 2.92
Hg1 0.0000 0.5000 0.2500  4 Mn 2.92, 4 Tc 2.92, 4 Hg 2.92

Summary:
The value obtained for the density of states at the Fermi level is 1.14 states/eV per atom. The value obtained for the magnetization is 6.5 μB/cell.

***

It is entry c that is the least stable of them.